Record 1
BeFeCuB | GGA-PBE | optimized geometry

E = -22.1 eV for the cell shown
Relative energy among the computed polymorphs = 0.0 meV/atom
Symmetry = F-43m (216)

Lattice parameters (Å, degrees): 3.6421 3.6421 3.6421 60.00 60.00 60.00
Site moments in Bohr magnetons follow the coordinates.
Atoms (fractional coordinates):
Fe (0.5000, 0.5000, 0.5000)  0.41
Cu (0.0000, 0.0000, 0.0000)  0.03
Be (0.7500, 0.7500, 0.7500)  -0.01
B (0.2500, 0.2500, 0.2500)  -0.01

Record 2
PrGd2Mg3In2Hg | GGA-PBE | optimized geometry

E = -28.4 eV for the cell shown
Symmetry = Amm2 (38)

Lattice parameters (Å, degrees): 4.6781 7.6444 7.6444 120.69 90.00 90.00
Atoms (fractional coordinates):
Hg (0.0000, 0.9929, 0.9929)
In (0.5000, 0.6715, 0.3326)
Mg (0.5000, 0.2378, 0.9999)
Gd (0.0000, 0.0018, 0.5829)
Pr (0.0000, 0.4196, 0.4196)
In (0.5000, 0.3326, 0.6715)
Gd (0.0000, 0.5829, 0.0018)
Mg (0.5000, 0.7611, 0.7611)
Mg (0.5000, 0.9999, 0.2378)

Record 3
PaCdHg | GGA-PBE | optimized geometry

E = -9.8 eV for the cell shown
Relative energy among the computed polymorphs = 0.0 meV/atom
Symmetry = F-43m (216)
E_form = 0.296 eV per atom

Lattice parameters (Å, degrees): 4.8898 4.8898 4.8898 60.00 60.00 60.00
Site moments in Bohr magnetons follow the coordinates.
Atoms (fractional coordinates):
Pa (0.7500, 0.7500, 0.7500)  0.83
Hg (0.0000, 0.0000, 0.0000)  -0.01
Cd (0.2500, 0.2500, 0.2500)  0.00

Record 4
HfSiAg | GGA-PBE | optimized geometry

E = -18.4 eV for the cell shown
Symmetry = F-43m (216)

Lattice parameters (Å, degrees): 4.3635 4.3635 4.3635 60.00 60.00 60.00
Atoms (fractional coordinates):
Hf (0.7500, 0.7500, 0.7500)
Si (0.0000, 0.0000, 0.0000)
Ag (0.2500, 0.2500, 0.2500)

Record 5
NaNpTe3Au | GGA-PBE | optimized geometry

E = -61.1 eV for the cell shown
Symmetry = Cmcm (63)

Lattice parameters (Å, degrees): 7.7201 7.7201 11.2391 90.00 90.00 147.53
Site moments in Bohr magnetons follow the coordinates.
Atoms (fractional coordinates):
Au (0.0323, 0.9677, 0.7500)  -0.08
Te (0.8583, 0.1417, 0.0525)  -0.12
Na (0.7205, 0.2795, 0.7500)  0.00
Au (0.9677, 0.0323, 0.2500)  -0.08
Np (0.5000, 0.5000, 0.0000)  3.54
Te (0.1417, 0.8583, 0.9475)  -0.12
Te (0.8583, 0.1417, 0.4475)  -0.12
Te (0.1417, 0.8583, 0.5525)  -0.12
Np (0.5000, 0.5000, 0.5000)  3.55
Te (0.5886, 0.4114, 0.2500)  -0.12
Na (0.2795, 0.7205, 0.2500)  0.00
Te (0.4114, 0.5886, 0.7500)  -0.12

Record 6
TbNdSn2Pd4 | GGA-PBE | optimized geometry

E = -45.0 eV for the cell shown
Symmetry = P-6m2 (187)

Lattice parameters (Å, degrees): 4.6140 4.6140 9.1036 90.00 90.00 120.00
Atoms (fractional coordinates):
Tb (0.3333, 0.6667, 0.5000)
Pd (0.6667, 0.3333, 0.6622)
Nd (0.6667, 0.3333, 0.0000)
Pd (0.6667, 0.3333, 0.3378)
Pd (0.3333, 0.6667, 0.8291)
Sn (0.0000, 0.0000, 0.7438)
Sn (0.0000, 0.0000, 0.2562)
Pd (0.3333, 0.6667, 0.1709)

Record 7
Cs2HfSe3 | GGA-PBE | optimized geometry

E = -59.8 eV for the cell shown
Symmetry = P2_1/m (11)

Lattice parameters (Å, degrees): 8.6893 4.0805 11.4667 90.00 97.02 90.00
Atoms (fractional coordinates):
Hf (0.9083, 0.2500, 0.8381)
Se (0.6524, 0.2500, 0.7067)
Cs (0.4212, 0.7500, 0.8569)
Cs (0.7505, 0.7500, 0.4789)
Se (0.1733, 0.2500, 0.0171)
Se (0.9608, 0.2500, 0.2734)
Se (0.0392, 0.7500, 0.7266)
Cs (0.2495, 0.2500, 0.5211)
Se (0.3476, 0.7500, 0.2933)
Cs (0.5788, 0.2500, 0.1431)
Hf (0.0917, 0.7500, 0.1619)
Se (0.8267, 0.7500, 0.9829)

Record 8
LuCuAgHg | GGA-PBE | optimized geometry

E = -12.0 eV for the cell shown
Relative energy among the computed polymorphs = 32.8 meV/atom
Symmetry = F-43m (216)
E_form = -0.165 eV per atom

Lattice parameters (Å, degrees): 4.7918 4.7918 4.7918 60.00 60.00 60.00
Atoms (fractional coordinates):
Ag (0.5000, 0.5000, 0.5000)
Cu (0.2500, 0.2500, 0.2500)
Hg (0.0000, 0.0000, 0.0000)
Lu (0.7500, 0.7500, 0.7500)

Record 9
LaErNi | GGA-PBE | optimized geometry

E = -44.5 eV for the cell shown
Relative energy among the computed polymorphs = 196.6 meV/atom
Symmetry = P-62m (189)
E_form = 0.077 eV per atom

Lattice parameters (Å, degrees): 4.5440 7.3786 7.3786 120.03 90.00 90.00
Atoms (fractional coordinates):
La (0.0000, 0.4171, 0.4171)
Ni (0.5000, 0.2473, 0.9999)
La (0.0000, 0.5831, 0.0000)
Ni (0.5000, 0.7527, 0.7527)
Er (0.5000, 0.6666, 0.3334)
Er (0.5000, 0.3334, 0.6666)
La (0.0000, 0.0000, 0.5831)
Ni (0.5000, 0.9999, 0.2473)
Er (0.0000, 0.0000, 0.0000)

Record 10
BeZnCuHg | GGA-PBE | optimized geometry

E = -8.0 eV for the cell shown
Relative energy among the computed polymorphs = 2.5 meV/atom
Symmetry = F-43m (216)

Lattice parameters (Å, degrees): 4.3068 4.3068 4.3068 60.00 60.00 60.00
Atoms (fractional coordinates):
Be (0.2500, 0.2500, 0.2500)
Hg (0.5000, 0.5000, 0.5000)
Zn (0.0000, 0.0000, 0.0000)
Cu (0.7500, 0.7500, 0.7500)

Record 11
HoNpPb | GGA-PBE | optimized geometry

E = -19.2 eV for the cell shown
Symmetry = F-43m (216)

Lattice parameters (Å, degrees): 5.1519 5.1519 5.1519 60.00 60.00 60.00
Site moments in Bohr magnetons follow the coordinates.
Atoms (fractional coordinates):
Np (0.7500, 0.7500, 0.7500)  4.64
Ho (0.0000, 0.0000, 0.0000)  0.84
Pb (0.2500, 0.2500, 0.2500)  -0.08

Record 12
HfPaTl | GGA-PBE | optimized geometry

E = -18.4 eV for the cell shown
Relative energy among the computed polymorphs = 339.8 meV/atom
Symmetry = F-43m (216)

Lattice parameters (Å, degrees): 5.0650 5.0650 5.0650 60.00 60.00 60.00
Atoms (fractional coordinates):
Hf (0.2500, 0.2500, 0.2500)
Pa (0.0000, 0.0000, 0.0000)
Tl (0.7500, 0.7500, 0.7500)